Record 1
YAg2F6: relaxed, GGA-PBE.

Unit cell a=7.0691 b=7.0691 c=7.0691 alpha=149.00 beta=133.58 gamma=56.87
With the nearest neighbours (Å) after each atom.
Element x y z (fractional)
Y1 0.0000 0.0000 0.0000  8 F 2.27-2.35
Ag1 0.3318 0.3318 0.0000  8 F 2.36-2.62
Ag2 0.6682 0.6682 0.0000  8 F 2.36-2.62
F1 0.0958 0.8474 0.2483  1 Y 2.35, 3 Ag 2.36-2.62
F2 0.2258 0.5000 0.7258  2 Y 2.27, 1 F 2.52
F3 0.4009 0.1526 0.2483  1 Y 2.35, 3 Ag 2.36-2.62
F4 0.5991 0.8474 0.7517  1 Y 2.35, 3 Ag 2.36-2.62
F5 0.7742 0.5000 0.2742  2 Y 2.27, 1 F 2.52
F6 0.9042 0.1526 0.7517  1 Y 2.35, 3 Ag 2.36-2.62

Computed properties:
The calculation puts the uncorrected energy at -4.999 eV/atom. Its energy above the most stable polymorph in this dataset is 0 meV per atom. The value obtained for the density of states at the Fermi level is 4.8 states/eV/f.u. The calculation puts the uncorrected formation energy at -2.399 eV per atom.

Record 2
Y2AgF: relaxed, GGA-PBE.

Unit cell a=5.0194 b=5.0194 c=5.0194 alpha=60.00 beta=60.00 gamma=60.00
With the nearest neighbours (Å) after each atom.
Element x y z (fractional)
Y1 0.2500 0.2500 0.2500  4 F 3.07, 4 Ag 3.07
Y2 0.7500 0.7500 0.7500  4 F 3.07, 4 Ag 3.07
Ag1 0.0000 0.0000 0.0000  8 Y 3.07
F1 0.5000 0.5000 0.5000  8 Y 3.07

Computed properties:
The calculation puts the uncorrected energy at -5.279 eV/atom. Its energy above the most stable polymorph in this dataset is 343 meV per atom. The value obtained for the density of states at the Fermi level is 5.6 states/eV/f.u. The calculation puts the uncorrected formation energy at -0.866 eV per atom.